<w>
A geometry-optimized Tl2CdHg structure. Source: Alexandria via LeMat-Bulk, functional PBE-GGA.

The space group is Fm-3m (No. 225) and the conventional cell measures 7.684, 7.684 and 7.684 Å, with angles of 90.00, 90.00 and 90.00 degrees. The distinct sites, in fractional coordinates, are Tl at (0.250, 0.250, 0.250), Cd at (0.000, 0.000, 0.000) and Hg at (0.000, 0.000, 0.500).

The calculation puts the density of states at the Fermi level at 0.394 states/eV/atom.


<x>
A geometry-optimized Tl2CdHg structure. Source: Alexandria via LeMat-Bulk, functional PBE-GGA.

The space group is Cmm2 (No. 35) and the conventional cell measures 4.666, 5.097 and 9.361 Å, with angles of 90.00, 90.00 and 90.00 degrees. The distinct sites, in fractional coordinates, are Tl at (0.000, 0.000, 0.000), Tl at (0.000, 0.500, 0.294), Cd at (0.000, 0.500, 0.755) and Hg at (0.000, 0.000, 0.544).

The calculation puts the density of states at the Fermi level at 0.340 states/eV/atom.


<y>
A geometry-optimized Tl2CdHg structure. Source: Alexandria via LeMat-Bulk, functional PBE-GGA.

The space group is Immm (No. 71) and the conventional cell measures 3.752, 5.539 and 10.855 Å, with angles of 90.00, 90.00 and 90.00 degrees. The distinct sites, in fractional coordinates, are Tl at (0.000, 0.000, 0.246), Cd at (0.000, 0.500, 0.500) and Hg at (0.000, 0.500, 0.000).

The calculation puts the density of states at the Fermi level at 0.449 states/eV/atom.


<z>
A geometry-optimized Tl2CdHg structure. Source: Alexandria via LeMat-Bulk, functional PBE-GGA.

The space group is Cmmm (No. 65) and the conventional cell measures 4.218, 5.367 and 10.013 Å, with angles of 90.00, 90.00 and 90.00 degrees. The distinct sites, in fractional coordinates, are Tl at (0.000, 0.000, 0.244), Cd at (0.000, 0.500, 0.000) and Hg at (0.000, 0.500, 0.500).

The calculation puts the density of states at the Fermi level at 0.260 states/eV/atom.


The most stable arrangement is <x>, and the next structure is 10 meV per atom less stable.